6
Lattice="4.268 0.000 0.000 0.000 4.268 0.000 0.000 0.000 7.700" Properties=species:S:1:pos:R:3 comment="LiMgTe PBE relaxed" e_above_lowest_polymorph_mev_per_atom=0 raw_formation_energy_ev_per_atom=-0.48 sg=P4/nmm pbc="T T T"
Li 1.067 1.067 1.278
Li 3.201 3.201 6.423
Mg 1.067 3.201 3.850
Mg 3.201 1.067 3.850
Te 1.067 1.067 6.112
Te 3.201 3.201 1.589

=====

10
Lattice="6.544 -2.829 0.000 6.544 2.829 0.000 -2.659 0.000 8.081" Properties=species:S:1:pos:R:3 comment="Nd2S2Br PBE relaxed" e_above_lowest_polymorph_mev_per_atom=22 raw_formation_energy_ev_per_atom=-1.95 sg=C2/m pbc="T T T"
Nd -0.530 0.000 1.946
Nd 1.935 0.000 7.531
Nd 8.494 0.000 0.550
Nd 10.958 0.000 6.135
S 1.923 0.000 0.559
S 4.445 0.000 6.194
S 5.984 0.000 1.887
S 8.506 0.000 7.522
Br 0.572 0.000 4.763
Br 9.857 0.000 3.318

=====

4
Lattice="4.485 0.000 0.000 0.000 4.485 0.000 0.000 0.000 4.519" Properties=species:S:1:pos:R:3 comment="CaSn2Pd PBE relaxed" sg=P4/mmm delta_e_f_ev_per_atom=-0.479 pbc="T T T"
Ca 0.000 0.000 0.000
Sn 0.000 2.242 2.259
Sn 2.242 0.000 2.259
Pd 2.242 2.242 0.000

=====

11
Lattice="-1.791 8.306 4.812 1.791 -8.306 4.812 1.791 8.306 -4.812" Properties=species:S:1:pos:R:3 comment="Dy7Cd2Co2 PBE relaxed" e_above_lowest_polymorph_mev_per_atom=0 sg=Imm2 delta_e_f_ev_per_atom=-0.183 pbc="T T T"
Dy 0.000 0.000 0.000
Dy 1.791 3.044 -1.170
Dy 1.791 -2.494 2.203
Dy 1.791 2.494 2.203
Dy 1.791 5.967 0.662
Dy 0.000 5.263 3.642
Dy 0.000 2.339 5.473
Cd 0.000 0.000 3.287
Cd 0.000 8.306 2.136
Co 0.000 3.968 0.771
Co 0.000 12.644 0.771

=====

4
Lattice="4.192 0.000 0.000 0.000 4.192 0.000 0.000 0.000 4.152" Properties=species:S:1:pos:R:3 comment="SrSi2Os PBE relaxed" raw_formation_energy_ev_per_atom=0.62 sg=P4/mmm pbc="T T T"
Sr 0.000 0.000 0.000
Si 0.000 2.096 2.076
Si 2.096 0.000 2.076
Os 2.096 2.096 0.000

=====

14
Lattice="2.658 -6.303 0.000 2.658 6.303 0.000 0.000 0.000 5.323" Properties=species:S:1:pos:R:3 comment="SrCeAlO4 PBE relaxed" e_above_lowest_polymorph_mev_per_atom=14 raw_formation_energy_ev_per_atom=-3.06 sg=Cmcm pbc="T T T"
Sr 2.658 4.990 3.992
Sr 2.658 -4.990 1.331
Ce 2.658 1.380 3.992
Ce 2.658 -1.380 1.331
Al 2.658 3.230 1.331
Al 2.658 -3.230 3.992
O 1.329 3.152 0.000
O 1.329 3.152 2.661
O 2.658 5.150 1.331
O 2.658 0.980 1.331
O 1.329 -3.152 0.000
O 1.329 -3.152 2.661
O 2.658 -0.980 3.992
O 2.658 -5.150 3.992

=====

5
Lattice="4.577 0.000 0.000 0.000 4.577 0.000 0.000 0.000 6.193" Properties=species:S:1:pos:R:3 comment="RbPbIO2 PBE relaxed" e_above_lowest_polymorph_mev_per_atom=0 raw_formation_energy_ev_per_atom=-0.59 sg=P4/mmm pbc="T T T"
Rb 0.000 0.000 0.000
Pb 2.288 2.288 3.097
I 2.288 2.288 0.000
O 0.000 2.288 3.097
O 2.288 0.000 3.097

=====

4
Lattice="2.103 1.214 7.038 -2.103 1.214 7.038 0.000 -2.428 7.038" Properties=species:S:1:pos:R:3 comment="LiPrSe2 PBE relaxed" raw_formation_energy_ev_per_atom=-1.59 sg=R3m pbc="T T T"
Li 0.000 0.000 0.000
Pr 0.000 0.000 3.830
Se 0.000 0.000 12.657
Se 0.000 0.000 16.227